1.
{
  "formula": "Li2CuSeBr",
  "functional": "PBE",
  "state": "relaxed",
  "lattice": [[4.615, 0.000, 0.000], [0.000, 5.682, 0.000], [0.000, 0.000, 4.615]],
  "species": ["Li", "Br", "Li", "Cu", "Se"],
  "frac_coords": [[0.000, 0.000, 0.500], [0.000, 0.000, 0.000], [0.500, 0.000, 0.000], [0.500, 0.500, 0.500], [0.000, 0.500, 0.000]],
  "raw_formation_energy_ev_per_atom": 0.0347
}



2.
{
  "formula": "YZrAg2",
  "functional": "PBE",
  "state": "relaxed",
  "lattice": [[5.112, -0.010, 0.011], [4.152, 2.983, 0.011], [0.893, 0.287, 6.020]],
  "species": ["Ag", "Y", "Zr", "Ag"],
  "frac_coords": [[0.998, 0.998, 0.032], [0.750, 0.750, 0.750], [0.250, 0.250, 0.250], [0.502, 0.502, 0.468]],
  "de_polymorph_mev_per_atom": 201
}



3.
{
  "formula": "PaTaSe2",
  "functional": "PBE",
  "state": "relaxed",
  "lattice": [[3.484, 0.001, 0.000], [-0.001, 3.483, -0.002], [-1.742, -1.741, 7.073]],
  "species": ["Se", "Pa", "Se", "Ta"],
  "frac_coords": [[0.838, 0.498, 0.462], [0.221, 0.881, 0.228], [0.604, 0.264, 0.994], [0.471, 0.631, 0.728]],
  "de_polymorph_mev_per_atom": 0,
  "raw_formation_energy_ev_per_atom": -0.5645
}



4.
{
  "formula": "ZnRuS2N",
  "functional": "PBE",
  "state": "relaxed",
  "lattice": [[-0.304, 0.088, 4.717], [-2.954, -3.690, -0.121], [2.791, -2.242, 0.222]],
  "species": ["Zn", "Ru", "N", "S", "S"],
  "frac_coords": [[0.000, 0.000, 0.000], [0.500, 0.500, 0.500], [0.000, 0.000, 0.500], [0.500, 0.000, 0.000], [0.000, 0.500, 0.000]],
  "de_polymorph_mev_per_atom": 921,
  "raw_formation_energy_ev_per_atom": 1.3611
}



5.
{
  "formula": "RbPr2AlO5",
  "functional": "PBE",
  "state": "relaxed",
  "lattice": [[-0.462, 5.008, -4.783], [-0.959, -4.794, -4.926], [-4.819, 0.161, 5.670]],
  "species": ["O", "Rb", "O", "O", "O", "O", "Pr", "Al", "Pr", "O", "Pr", "O", "Pr", "O", "O", "Al", "Rb", "O"],
  "frac_coords": [[0.993, 0.493, 0.724], [0.250, 0.250, 0.500], [0.500, 0.500, 0.000], [0.231, 0.993, 0.724], [0.000, 0.000, 0.000], [0.493, 0.731, 0.724], [0.817, 0.683, 0.000], [0.250, 0.750, 0.500], [0.683, 0.183, 0.000], [0.731, 0.231, 0.724], [0.183, 0.317, 0.000], [0.269, 0.769, 0.276], [0.317, 0.817, 0.000], [0.769, 0.007, 0.276], [0.507, 0.269, 0.276], [0.750, 0.250, 0.500], [0.750, 0.750, 0.500], [0.007, 0.507, 0.276]],
  "raw_formation_energy_ev_per_atom": -2.8673
}



6.
{
  "formula": "SrHfB2Au",
  "functional": "PBE",
  "state": "relaxed",
  "lattice": [[4.576, 0.000, 0.000], [0.000, 5.343, 0.000], [0.000, 0.000, 4.576]],
  "species": ["B", "Au", "B", "Sr", "Hf"],
  "frac_coords": [[0.500, 0.000, 0.000], [0.000, 0.500, 0.000], [0.000, 0.000, 0.500], [0.500, 0.500, 0.500], [0.000, 0.000, 0.000]],
  "de_polymorph_mev_per_atom": 0
}



7.
{
  "formula": "TbZnRh",
  "functional": "PBE",
  "state": "relaxed",
  "lattice": [[3.618, 0.000, 0.000], [0.000, 4.358, 0.000], [0.000, -2.179, 3.774]],
  "species": ["Zn", "Rh", "Tb"],
  "frac_coords": [[0.167, 0.000, 0.000], [0.167, 0.333, 0.667], [0.667, 0.667, 0.333]],
  "dft_energy_ev_per_fu": -15.09
}



8.
{
  "formula": "ZnCr3Au",
  "functional": "PBE",
  "state": "relaxed",
  "lattice": [[-1.351, -3.768, -2.456], [3.916, 0.275, -2.577], [2.211, -2.789, 3.063]],
  "species": ["Au", "Cr", "Cr", "Cr", "Zn"],
  "frac_coords": [[0.500, 0.500, 0.500], [0.000, 0.500, 0.000], [0.000, 0.000, 0.500], [0.500, 0.000, 0.000], [0.000, 0.000, 0.000]],
  "de_polymorph_mev_per_atom": 0
}



9.
{
  "formula": "K2BeNi",
  "functional": "PBE",
  "state": "relaxed",
  "lattice": [[4.366, 0.000, 0.000], [0.000, 4.345, 0.000], [0.000, 0.000, 5.521]],
  "species": ["Ni", "K", "Be", "K"],
  "frac_coords": [[0.500, 0.500, 0.250], [0.000, 0.000, 0.497], [0.500, 0.500, 0.750], [0.000, 0.000, 0.003]],
  "dft_energy_ev_per_fu": -7.59
}



10.
{
  "formula": "Mn2VSbC",
  "functional": "PBE",
  "state": "relaxed",
  "lattice": [[-2.682, -0.201, 2.826], [1.375, -3.495, 1.056], [2.611, 1.815, 2.607]],
  "species": ["Sb", "V", "Mn", "Mn", "C"],
  "frac_coords": [[0.500, 0.500, 0.500], [0.000, 0.000, 0.500], [0.500, 0.000, 0.000], [0.000, 0.500, 0.000], [0.000, 0.000, 0.000]],
  "raw_formation_energy_ev_per_atom": -0.0487
}



11.
{
  "formula": "La2Al",
  "functional": "PBE",
  "state": "relaxed",
  "lattice": [[-5.202, -3.802, 0.100], [-2.104, -6.075, 0.427], [-2.160, -1.832, 7.726]],
  "species": ["La", "Al", "La", "La", "Al", "La"],
  "frac_coords": [[0.639, 0.639, 0.222], [0.964, 0.964, 0.107], [0.342, 0.342, 0.913], [0.937, 0.937, 0.531], [0.313, 0.313, 0.339], [0.639, 0.639, 0.723]],
  "dft_energy_ev_per_fu": -14.01
}



12.
{
  "formula": "Li2Er2USe6",
  "functional": "PBE",
  "state": "relaxed",
  "lattice": [[7.054, -0.024, 0.087], [-3.507, 6.120, 0.087], [-1.256, -2.159, 6.429]],
  "species": ["Se", "Se", "Er", "U", "Se", "Se", "Li", "Se", "Er", "Se", "Li"],
  "frac_coords": [[0.078, 0.414, 0.747], [0.586, 0.922, 0.253], [0.666, 0.334, 0.500], [0.000, 0.000, 0.500], [0.922, 0.586, 0.253], [0.754, 0.754, 0.747], [0.831, 0.169, 0.000], [0.414, 0.078, 0.747], [0.334, 0.666, 0.500], [0.246, 0.246, 0.253], [0.169, 0.831, 0.000]],
  "raw_formation_energy_ev_per_atom": -1.5180
}